Entry 1:
# La5Pr12Ho2 PBE-GGA optimized geometry
# Uncorrected energy: -4.645 eV/atom
# Energy relative to the lowest polymorph listed for this composition: 0.0479 eV/atom
# Formation enthalpy at 0 K: 2.9 eV/f.u.
# DOS(E_F): 65.541 states/eV/cell
data_La5Pr12Ho2
_space_group_name_H-M_alt 'C 1 2/m 1'
_space_group_IT_number 12
_cell_length_a 19.089
_cell_length_b 7.374
_cell_length_c 10.554
_cell_angle_alpha 90.00
_cell_angle_beta 111.44
_cell_angle_gamma 90.00
loop_
_space_group_symop_operation_xyz
'x,y,z'
'-x,-y,-z'
'-x,y,-z'
'x,-y,z'
'x+1/2,y+1/2,z'
'-x+1/2,-y+1/2,-z'
'-x+1/2,y+1/2,-z'
'x+1/2,-y+1/2,z'
loop_
_atom_site_label
_atom_site_type_symbol
_atom_site_fract_x
_atom_site_fract_y
_atom_site_fract_z
La1 La 0.000 0.000 0.000
La2 La 0.173 0.500 0.710
La3 La 0.183 0.000 0.688
Pr1 Pr 0.002 0.500 0.820
Pr2 Pr 0.021 0.000 0.735
Pr3 Pr 0.160 0.248 0.369
Pr4 Pr 0.167 0.251 0.023
Ho1 Ho 0.000 0.286 0.500

Entry 2:
# La3Pr3Ho4 PBE-GGA optimized geometry
# Uncorrected energy: -4.656 eV/atom
# Formation enthalpy at 0 K: 0.9 eV/f.u.
# DOS(E_F): 21.735 states/eV/cell
data_La3Pr3Ho4
_space_group_name_H-M_alt 'A m m 2'
_space_group_IT_number 38
_cell_length_a 3.672
_cell_length_b 13.885
_cell_length_c 13.886
_cell_angle_alpha 90.00
_cell_angle_beta 90.00
_cell_angle_gamma 90.00
loop_
_space_group_symop_operation_xyz
'x,y,z'
'-x,-y,z'
'-x,y,z'
'x,-y,z'
'x,y+1/2,z+1/2'
'-x,-y+1/2,z+1/2'
'-x,y+1/2,z+1/2'
'x,-y+1/2,z+1/2'
loop_
_atom_site_label
_atom_site_type_symbol
_atom_site_fract_x
_atom_site_fract_y
_atom_site_fract_z
La1 La 0.000 0.000 0.000
La2 La 0.500 0.249 0.575
Pr1 Pr 0.000 0.000 0.650
Pr2 Pr 0.000 0.175 0.325
Ho1 Ho 0.500 0.000 0.204
Ho2 Ho 0.500 0.000 0.446
Ho3 Ho 0.500 0.121 0.824

Entry 3:
# La12Pr5Ho2 PBE-GGA optimized geometry
# Uncorrected energy: -4.706 eV/atom
# Energy relative to the lowest polymorph listed for this composition: 0.0680 eV/atom
# Formation enthalpy at 0 K: 2.8 eV/f.u.
# DOS(E_F): 64.856 states/eV/cell
data_La12Pr5Ho2
_space_group_name_H-M_alt 'C 1 2/m 1'
_space_group_IT_number 12
_cell_length_a 19.546
_cell_length_b 7.601
_cell_length_c 10.319
_cell_angle_alpha 90.00
_cell_angle_beta 115.13
_cell_angle_gamma 90.00
loop_
_space_group_symop_operation_xyz
'x,y,z'
'-x,-y,-z'
'-x,y,-z'
'x,-y,z'
'x+1/2,y+1/2,z'
'-x+1/2,-y+1/2,-z'
'-x+1/2,y+1/2,-z'
'x+1/2,-y+1/2,z'
loop_
_atom_site_label
_atom_site_type_symbol
_atom_site_fract_x
_atom_site_fract_y
_atom_site_fract_z
La1 La 0.008 0.000 0.218
La2 La 0.009 0.500 0.330
La3 La 0.159 0.250 0.850
La4 La 0.168 0.237 0.502
Pr1 Pr 0.000 0.000 0.500
Pr2 Pr 0.174 0.000 0.165
Pr3 Pr 0.175 0.500 0.197
Ho1 Ho 0.000 0.298 0.000

Repeat the first record exactly.
# La5Pr12Ho2 PBE-GGA optimized geometry
# Uncorrected energy: -4.645 eV/atom
# Energy relative to the lowest polymorph listed for this composition: 0.0479 eV/atom
# Formation enthalpy at 0 K: 2.9 eV/f.u.
# DOS(E_F): 65.541 states/eV/cell
data_La5Pr12Ho2
_space_group_name_H-M_alt 'C 1 2/m 1'
_space_group_IT_number 12
_cell_length_a 19.089
_cell_length_b 7.374
_cell_length_c 10.554
_cell_angle_alpha 90.00
_cell_angle_beta 111.44
_cell_angle_gamma 90.00
loop_
_space_group_symop_operation_xyz
'x,y,z'
'-x,-y,-z'
'-x,y,-z'
'x,-y,z'
'x+1/2,y+1/2,z'
'-x+1/2,-y+1/2,-z'
'-x+1/2,y+1/2,-z'
'x+1/2,-y+1/2,z'
loop_
_atom_site_label
_atom_site_type_symbol
_atom_site_fract_x
_atom_site_fract_y
_atom_site_fract_z
La1 La 0.000 0.000 0.000
La2 La 0.173 0.500 0.710
La3 La 0.183 0.000 0.688
Pr1 Pr 0.002 0.500 0.820
Pr2 Pr 0.021 0.000 0.735
Pr3 Pr 0.160 0.248 0.369
Pr4 Pr 0.167 0.251 0.023
Ho1 Ho 0.000 0.286 0.500

The highest uncorrected energy belongs to which entry?
La5Pr12Ho2

Please write out number 2 again, unchanged.
# La3Pr3Ho4 PBE-GGA optimized geometry
# Uncorrected energy: -4.656 eV/atom
# Formation enthalpy at 0 K: 0.9 eV/f.u.
# DOS(E_F): 21.735 states/eV/cell
data_La3Pr3Ho4
_space_group_name_H-M_alt 'A m m 2'
_space_group_IT_number 38
_cell_length_a 3.672
_cell_length_b 13.885
_cell_length_c 13.886
_cell_angle_alpha 90.00
_cell_angle_beta 90.00
_cell_angle_gamma 90.00
loop_
_space_group_symop_operation_xyz
'x,y,z'
'-x,-y,z'
'-x,y,z'
'x,-y,z'
'x,y+1/2,z+1/2'
'-x,-y+1/2,z+1/2'
'-x,y+1/2,z+1/2'
'x,-y+1/2,z+1/2'
loop_
_atom_site_label
_atom_site_type_symbol
_atom_site_fract_x
_atom_site_fract_y
_atom_site_fract_z
La1 La 0.000 0.000 0.000
La2 La 0.500 0.249 0.575
Pr1 Pr 0.000 0.000 0.650
Pr2 Pr 0.000 0.175 0.325
Ho1 Ho 0.500 0.000 0.204
Ho2 Ho 0.500 0.000 0.446
Ho3 Ho 0.500 0.121 0.824